Entry i
LiMg2Cl | SCAN | single point on PBEsol structure

```
data_LiMg2Cl
_space_group_name_H-M_alt 'R -3 m'
_space_group_IT_number 166
_space_group_name_Hall '-R 3 2"'
_cell_length_a 3.3342
_cell_length_b 3.3342
_cell_length_c 25.5294
_cell_angle_alpha 90.00
_cell_angle_beta 90.00
_cell_angle_gamma 120.00
loop_
_atom_site_label
_atom_site_fract_x
_atom_site_fract_y
_atom_site_fract_z
Li1 0.0000 0.0000 0.0000
Mg1 0.0000 0.0000 0.2448
Cl1 0.0000 0.0000 0.5000
```

***

Entry ii
LiMg2Cl | SCAN | single point on PBEsol structure

```
data_LiMg2Cl
_space_group_name_H-M_alt 'P 4/m m m'
_space_group_IT_number 123
_space_group_name_Hall '-P 4 2'
_cell_length_a 3.9594
_cell_length_b 3.9594
_cell_length_c 6.0058
_cell_angle_alpha 90.00
_cell_angle_beta 90.00
_cell_angle_gamma 90.00
loop_
_atom_site_label
_atom_site_fract_x
_atom_site_fract_y
_atom_site_fract_z
Li1 0.0000 0.0000 0.0000
Mg1 0.0000 0.5000 0.5000
Cl1 0.5000 0.5000 0.0000
```

***

Entry iii
LiMg2Cl | SCAN | single point on PBEsol structure

```
data_LiMg2Cl
_space_group_name_H-M_alt 'I 4/m m m'
_space_group_IT_number 139
_space_group_name_Hall '-I 4 2'
_cell_length_a 3.9683
_cell_length_b 3.9683
_cell_length_c 11.2110
_cell_angle_alpha 90.00
_cell_angle_beta 90.00
_cell_angle_gamma 90.00
loop_
_atom_site_label
_atom_site_fract_x
_atom_site_fract_y
_atom_site_fract_z
Li1 0.0000 0.0000 0.0000
Mg1 0.0000 0.5000 0.2500
Cl1 0.0000 0.0000 0.5000
```

***

Least stable of them? entry ii.

***

Entry i
LiMgP2Cl | SCAN | single point on PBEsol structure

```
data_LiMgP2Cl
_space_group_name_H-M_alt 'P 4/m m m'
_space_group_IT_number 123
_space_group_name_Hall '-P 4 2'
_cell_length_a 4.2259
_cell_length_b 4.2259
_cell_length_c 5.1304
_cell_angle_alpha 90.00
_cell_angle_beta 90.00
_cell_angle_gamma 90.00
loop_
_atom_site_label
_atom_site_fract_x
_atom_site_fract_y
_atom_site_fract_z
Li1 0.0000 0.0000 0.0000
Mg1 0.5000 0.5000 0.5000
P1 0.0000 0.5000 0.0000
Cl1 0.0000 0.0000 0.5000
```

***

Entry ii
LiMgP2Cl | SCAN | single point on PBEsol structure

```
data_LiMgP2Cl
_space_group_name_H-M_alt 'P 4/m m m'
_space_group_IT_number 123
_space_group_name_Hall '-P 4 2'
_cell_length_a 4.8437
_cell_length_b 4.8437
_cell_length_c 5.0662
_cell_angle_alpha 90.00
_cell_angle_beta 90.00
_cell_angle_gamma 90.00
loop_
_atom_site_label
_atom_site_fract_x
_atom_site_fract_y
_atom_site_fract_z
Li1 0.0000 0.0000 0.0000
Mg1 0.5000 0.5000 0.5000
P1 0.0000 0.5000 0.5000
Cl1 0.5000 0.5000 0.0000
```

***

Least stable of them? entry i.

***

Entry i
LiMnCl | SCAN | single point on PBEsol structure

```
data_LiMnCl
_space_group_name_H-M_alt 'F m m 2'
_space_group_IT_number 42
_space_group_name_Hall 'F 2 -2'
_cell_length_a 3.2741
_cell_length_b 5.3953
_cell_length_c 11.7757
_cell_angle_alpha 90.00
_cell_angle_beta 90.00
_cell_angle_gamma 90.00
loop_
_atom_site_label
_atom_site_fract_x
_atom_site_fract_y
_atom_site_fract_z
Li1 0.0000 0.0000 0.0000
Mn1 0.0000 0.0000 0.6922
Cl1 0.0000 0.0000 0.3576
```

***

Entry ii
LiMnCl | SCAN | single point on PBEsol structure

```
data_LiMnCl
_space_group_name_H-M_alt 'P 3 m 1'
_space_group_IT_number 156
_cell_length_a 3.1761
_cell_length_b 3.1761
_cell_length_c 5.7793
_cell_angle_alpha 90.00
_cell_angle_beta 90.00
_cell_angle_gamma 120.00
loop_
_space_group_symop_operation_xyz
'x,y,z'
'-y,x-y,z'
'-x+y,-x,z'
'-y,-x,z'
'-x+y,y,z'
'x,x-y,z'
loop_
_atom_site_label
_atom_site_fract_x
_atom_site_fract_y
_atom_site_fract_z
Li1 0.0000 0.0000 0.0000
Mn1 0.3333 0.6667 0.6059
Cl1 0.6667 0.3333 0.2781
```

***

Least stable of them? entry i.

***

Entry i
Li2MoCl | SCAN | single point on PBEsol structure

```
data_Li2MoCl
_space_group_name_H-M_alt 'C 1 m 1'
_space_group_IT_number 8
_cell_length_a 8.7094
_cell_length_b 2.8578
_cell_length_c 5.1068
_cell_angle_alpha 90.00
_cell_angle_beta 114.70
_cell_angle_gamma 90.00
loop_
_space_group_symop_operation_xyz
'x,y,z'
'x,-y,z'
'x+1/2,y+1/2,z'
'x+1/2,-y+1/2,z'
loop_
_atom_site_label
_atom_site_fract_x
_atom_site_fract_y
_atom_site_fract_z
Li1 0.0000 0.0000 0.0000
Li2 0.2094 0.0000 0.7925
Mo1 0.3111 0.5000 0.3799
Cl1 0.0403 0.5000 0.3897
```

***

Entry ii
Li2MoCl | SCAN | single point on PBEsol structure

```
data_Li2MoCl
_space_group_name_H-M_alt 'C m m 2'
_space_group_IT_number 35
_cell_length_a 3.0124
_cell_length_b 4.9183
_cell_length_c 8.7980
_cell_angle_alpha 90.00
_cell_angle_beta 90.00
_cell_angle_gamma 90.00
loop_
_space_group_symop_operation_xyz
'x,y,z'
'-x,-y,z'
'-x,y,z'
'x,-y,z'
'x+1/2,y+1/2,z'
'-x+1/2,-y+1/2,z'
'-x+1/2,y+1/2,z'
'x+1/2,-y+1/2,z'
loop_
_atom_site_label
_atom_site_fract_x
_atom_site_fract_y
_atom_site_fract_z
Li1 0.0000 0.0000 0.0000
Li2 0.0000 0.5000 0.2963
Mo1 0.0000 0.5000 0.7320
Cl1 0.0000 0.0000 0.5007
```

***

Least stable of them? entry i.

***

Entry i
LiOsCl2 | SCAN | single point on PBEsol structure

```
data_LiOsCl2
_space_group_name_H-M_alt 'I m m m'
_space_group_IT_number 71
_space_group_name_Hall '-I 2 2'
_cell_length_a 3.5604
_cell_length_b 4.1507
_cell_length_c 11.1038
_cell_angle_alpha 90.00
_cell_angle_beta 90.00
_cell_angle_gamma 90.00
loop_
_atom_site_label
_atom_site_fract_x
_atom_site_fract_y
_atom_site_fract_z
Li1 0.0000 0.0000 0.0000
Os1 0.0000 0.0000 0.5000
Cl1 0.0000 0.5000 0.1342
```

***

Entry ii
LiOsCl2 | SCAN | single point on PBEsol structure

```
data_LiOsCl2
_space_group_name_H-M_alt 'A m m 2'
_space_group_IT_number 38
_cell_length_a 4.2232
_cell_length_b 2.9921
_cell_length_c 9.3971
_cell_angle_alpha 90.00
_cell_angle_beta 90.00
_cell_angle_gamma 90.00
loop_
_space_group_symop_operation_xyz
'x,y,z'
'-x,-y,z'
'-x,y,z'
'x,-y,z'
'x,y+1/2,z+1/2'
'-x,-y+1/2,z+1/2'
'-x,y+1/2,z+1/2'
'x,-y+1/2,z+1/2'
loop_
_atom_site_label
_atom_site_fract_x
_atom_site_fract_y
_atom_site_fract_z
Li1 0.0000 0.0000 0.0000
Os1 0.5000 0.0000 0.7927
Cl1 0.0000 0.0000 0.2818
Cl2 0.5000 0.0000 0.5452
```

***

Entry iii
LiOsCl2 | SCAN | single point on PBEsol structure

```
data_LiOsCl2
_space_group_name_H-M_alt 'P 4/m m m'
_space_group_IT_number 123
_space_group_name_Hall '-P 4 2'
_cell_length_a 3.0022
_cell_length_b 3.0022
_cell_length_c 7.0031
_cell_angle_alpha 90.00
_cell_angle_beta 90.00
_cell_angle_gamma 90.00
loop_
_atom_site_label
_atom_site_fract_x
_atom_site_fract_y
_atom_site_fract_z
Li1 0.0000 0.0000 0.0000
Os1 0.0000 0.0000 0.5000
Cl1 0.5000 0.5000 0.2244
```

***

Entry iv
LiOsCl2 | SCAN | single point on PBEsol structure

```
data_LiOsCl2
_space_group_name_H-M_alt 'R -3 m'
_space_group_IT_number 166
_space_group_name_Hall '-R 3 2"'
_cell_length_a 3.0938
_cell_length_b 3.0938
_cell_length_c 22.2235
_cell_angle_alpha 90.00
_cell_angle_beta 90.00
_cell_angle_gamma 120.00
loop_
_atom_site_label
_atom_site_fract_x
_atom_site_fract_y
_atom_site_fract_z
Li1 0.0000 0.0000 0.0000
Os1 0.0000 0.0000 0.5000
Cl1 0.0000 0.0000 0.2614
```

***

Least stable of them? entry iii.

***

Entry i
LiP2WCl | SCAN | single point on PBEsol structure

```
data_LiP2WCl
_space_group_name_H-M_alt 'P 4/m m m'
_space_group_IT_number 123
_space_group_name_Hall '-P 4 2'
_cell_length_a 4.6141
_cell_length_b 4.6141
_cell_length_c 5.0911
_cell_angle_alpha 90.00
_cell_angle_beta 90.00
_cell_angle_gamma 90.00
loop_
_atom_site_label
_atom_site_fract_x
_atom_site_fract_y
_atom_site_fract_z
Li1 0.0000 0.0000 0.0000
P1 0.0000 0.5000 0.5000
W1 0.5000 0.5000 0.5000
Cl1 0.5000 0.5000 0.0000
```

***

Entry ii
LiP2WCl | SCAN | single point on PBEsol structure

```
data_LiP2WCl
_space_group_name_H-M_alt 'P 4/m m m'
_space_group_IT_number 123
_space_group_name_Hall '-P 4 2'
_cell_length_a 4.2334
_cell_length_b 4.2334
_cell_length_c 4.3278
_cell_angle_alpha 90.00
_cell_angle_beta 90.00
_cell_angle_gamma 90.00
loop_
_atom_site_label
_atom_site_fract_x
_atom_site_fract_y
_atom_site_fract_z
Li1 0.0000 0.0000 0.0000
P1 0.0000 0.5000 0.0000
W1 0.5000 0.5000 0.5000
Cl1 0.0000 0.0000 0.5000
```

***

Least stable of them? entry ii.